1.
This record from Alexandria via LeMat-Bulk describes crystalline Rb2BeCoCl6 at its relaxed geometry. The functional is GGA-PBE.

Unit cell a=6.8184 b=6.8184 c=7.1211 alpha=61.40 beta=61.40 gamma=90.00
Last column: nearest neighbours and their distance in Å.
Fractional positions:
Cl (0.2738, 0.2738, 0.0000)  1 Be 2.18
Cl (0.7262, 0.7262, 0.0000)  1 Be 2.18
Cl (0.2163, 0.2163, 0.5673)  1 Co 2.27
Cl (0.7262, 0.2738, 0.0000)  1 Be 2.18
Cl (0.2738, 0.7262, 0.0000)  1 Be 2.18
Cl (0.7837, 0.7837, 0.4327)  1 Co 2.27
Be (0.5000, 0.5000, 0.0000)  4 Cl 2.18
Rb (0.2500, 0.7500, 0.5000)  12 Cl 3.43-3.57
Rb (0.7500, 0.2500, 0.5000)  12 Cl 3.43-3.57
Co (0.0000, 0.0000, 0.0000)  2 Cl 2.27

***

2.
This record from Alexandria via LeMat-Bulk describes crystalline Be2CoRhCl at its relaxed geometry. The functional is GGA-PBE.

Unit cell a=4.2285 b=4.8048 c=4.2285 alpha=90.00 beta=90.00 gamma=90.00
Last column: nearest neighbours and their distance in Å.
Fractional positions:
Cl (0.5000, 0.5000, 0.5000)  4 Co 2.99, 8 Be 3.20
Rh (0.0000, 0.0000, 0.0000)  4 Be 2.11
Be (0.0000, 0.0000, 0.5000)  2 Rh 2.11
Be (0.5000, 0.0000, 0.0000)  2 Rh 2.11
Co (0.0000, 0.5000, 0.0000)  2 Rh 2.40

***

3.
This record from Alexandria via LeMat-Bulk describes crystalline BeCoS2Cl at its relaxed geometry. The functional is GGA-PBE.

Output
energy above the lowest structure with this stoichiometry: 0.000 eV per atom

Unit cell a=4.1275 b=4.1275 c=5.1720 alpha=90.00 beta=90.00 gamma=90.00
Last column: nearest neighbours and their distance in Å.
Fractional positions:
Be (0.0000, 0.0000, 0.0000)  4 S 2.06
Cl (0.0000, 0.0000, 0.5000)  2 Be 2.59
S (0.5000, 0.0000, 0.0000)  2 Be 2.06
S (0.0000, 0.5000, 0.0000)  2 Be 2.06
Co (0.5000, 0.5000, 0.5000)  4 Cl 2.92

***

4.
This record from Alexandria via LeMat-Bulk describes crystalline BeCoSCl2 at its relaxed geometry. The functional is GGA-PBE.

Output
energy above the lowest structure with this stoichiometry: 0.000 eV per atom

Unit cell a=4.0898 b=4.0898 c=5.6484 alpha=90.00 beta=90.00 gamma=90.00
Last column: nearest neighbours and their distance in Å.
Fractional positions:
Be (0.0000, 0.0000, 0.0000)  4 Cl 2.04
Cl (0.0000, 0.5000, 0.0000)  2 Be 2.04
Cl (0.5000, 0.0000, 0.0000)  2 Be 2.04
S (0.0000, 0.0000, 0.5000)  2 Be 2.82, 4 Co 2.89
Co (0.5000, 0.5000, 0.5000)  4 S 2.89

***

5.
This record from Alexandria via LeMat-Bulk describes crystalline BeCoS2Cl at its relaxed geometry. The functional is GGA-PBE.

Output
energy above the lowest structure with this stoichiometry: 0.134 eV per atom

Unit cell a=4.3960 b=4.3960 c=4.6471 alpha=90.00 beta=90.00 gamma=90.00
Last column: nearest neighbours and their distance in Å.
Fractional positions:
S (0.5000, 0.0000, 0.0000)  2 Co 2.20
S (0.0000, 0.5000, 0.0000)  2 Co 2.20
Cl (0.0000, 0.0000, 0.5000)  2 Co 2.32
Co (0.0000, 0.0000, 0.0000)  4 S 2.20, 2 Cl 2.32
Be (0.5000, 0.5000, 0.5000)  4 Cl 3.11, 8 S 3.20

***

6.
This record from Alexandria via LeMat-Bulk describes crystalline BeCoSCl2 at its relaxed geometry. The functional is GGA-PBE.

Output
energy above the lowest structure with this stoichiometry: 0.229 eV per atom

Unit cell a=4.5691 b=4.5691 c=4.4675 alpha=90.00 beta=90.00 gamma=90.00
Last column: nearest neighbours and their distance in Å.
Fractional positions:
Cl (0.5000, 0.0000, 0.0000)  2 Co 2.28
Cl (0.0000, 0.5000, 0.0000)  2 Co 2.28
S (0.0000, 0.0000, 0.5000)  2 Co 2.23
Be (0.5000, 0.5000, 0.5000)  8 Cl 3.20, 4 S 3.23
Co (0.0000, 0.0000, 0.0000)  2 S 2.23, 4 Cl 2.28

***

no.,E_tot (eV for the cell shown)
1,-36.0
2,-20.2
3,-18.7
4,-17.8
5,-18.1
6,-16.6